No. 1
The following is a DFT calculation (PBE) of crystalline WAuSe2 at its relaxed geometry. Values from VASP.

Cell and atoms, written as Quantum ESPRESSO input:
```
&SYSTEM
  ibrav = 0, nat = 4, ntyp = 3
/
ATOMIC_SPECIES
W 183.84 W.upf
Au 196.97 Au.upf
Se 78.96 Se.upf
CELL_PARAMETERS angstrom
5.194 -1.588 0.000
5.194 1.588 0.000
-3.144 0.000 6.485
ATOMIC_POSITIONS crystal
W 0.000 0.000 0.000
Au 0.724 0.724 0.041
Se 0.349 0.349 0.727
Se 0.480 0.480 0.254
```

Computed properties:
Total energy = -23.17 eV/f.u.
Formation energy (no corrections) = 0.01 eV per atom
Distance to the lowest polymorph of the same formula = 0.043 eV/atom
Density of states at the Fermi level = 1.60 states/eV per cell

---

No. 2
The following is a DFT calculation (PBE) of crystalline WAuSe2 at its relaxed geometry. Values from VASP.

Cell and atoms, written as Quantum ESPRESSO input:
```
&SYSTEM
  ibrav = 0, nat = 4, ntyp = 3
/
ATOMIC_SPECIES
W 183.84 W.upf
Au 196.97 Au.upf
Se 78.96 Se.upf
CELL_PARAMETERS angstrom
1.555 0.898 10.224
-1.555 0.898 10.224
0.000 -1.795 10.224
ATOMIC_POSITIONS crystal
W 0.000 0.000 0.000
Au 0.261 0.261 0.261
Se 0.522 0.522 0.522
Se 0.724 0.724 0.724
```

Computed properties:
Total energy = -22.60 eV/f.u.
Formation energy (no corrections) = 0.15 eV per atom
Distance to the lowest polymorph of the same formula = 0.185 eV/atom
Density of states at the Fermi level = 1.15 states/eV per cell

---

No. 3
The following is a DFT calculation (PBE) of crystalline WAu2Se at its relaxed geometry. Values from VASP.

Cell and atoms, written as Quantum ESPRESSO input:
```
&SYSTEM
  ibrav = 0, nat = 4, ntyp = 3
/
ATOMIC_SPECIES
W 183.84 W.upf
Au 196.97 Au.upf
Se 78.96 Se.upf
CELL_PARAMETERS angstrom
2.832 0.000 0.000
0.000 5.174 0.000
-0.291 0.000 5.017
ATOMIC_POSITIONS crystal
W 0.000 0.000 0.000
Au 0.254 0.500 0.759
Au 0.746 0.500 0.241
Se 0.000 0.000 0.500
```

Computed properties:
Total energy = -20.55 eV/f.u.
Formation energy (no corrections) = 0.61 eV per atom
Density of states at the Fermi level = 3.11 states/eV per cell

---

No. 4
The following is a DFT calculation (PBE) of crystalline WAuSe2 at its relaxed geometry. Values from VASP.

Cell and atoms, written as Quantum ESPRESSO input:
```
&SYSTEM
  ibrav = 0, nat = 4, ntyp = 3
/
ATOMIC_SPECIES
W 183.84 W.upf
Au 196.97 Au.upf
Se 78.96 Se.upf
CELL_PARAMETERS angstrom
3.479 0.000 0.000
0.000 3.614 0.000
-1.699 0.000 7.383
ATOMIC_POSITIONS crystal
W 0.000 0.000 0.000
Au 0.588 0.500 0.180
Se 0.166 0.000 0.340
Se 0.890 0.500 0.774
```

Computed properties:
Total energy = -22.44 eV/f.u.
Formation energy (no corrections) = 0.19 eV per atom
Distance to the lowest polymorph of the same formula = 0.225 eV/atom
Density of states at the Fermi level = 2.20 states/eV per cell

---

No. 5
The following is a DFT calculation (PBE) of crystalline WAuSe2 at its relaxed geometry. Values from VASP.

Cell and atoms, written as Quantum ESPRESSO input:
```
&SYSTEM
  ibrav = 0, nat = 4, ntyp = 3
/
ATOMIC_SPECIES
W 183.84 W.upf
Au 196.97 Au.upf
Se 78.96 Se.upf
CELL_PARAMETERS angstrom
3.258 -4.319 0.000
3.258 4.319 0.000
0.000 0.000 2.716
ATOMIC_POSITIONS crystal
W 0.000 0.000 0.000
Au 0.500 0.500 0.000
Se 0.000 0.500 0.000
Se 0.500 0.000 0.000
```

Computed properties:
Total energy = -20.80 eV/f.u.
Formation energy (no corrections) = 0.60 eV per atom
Distance to the lowest polymorph of the same formula = 0.635 eV/atom
Density of states at the Fermi level = 2.68 states/eV per cell

---

No. 6
The following is a DFT calculation (PBE) of crystalline WAuSe2 at its relaxed geometry. Values from VASP.

Cell and atoms, written as Quantum ESPRESSO input:
```
&SYSTEM
  ibrav = 0, nat = 4, ntyp = 3
/
ATOMIC_SPECIES
W 183.84 W.upf
Au 196.97 Au.upf
Se 78.96 Se.upf
CELL_PARAMETERS angstrom
6.554 -1.513 0.000
6.554 1.513 0.000
-1.836 0.000 4.573
ATOMIC_POSITIONS crystal
W 0.000 0.000 0.000
Au 0.500 0.500 0.500
Se 0.335 0.335 0.835
Se 0.665 0.665 0.165
```

Computed properties:
Total energy = -22.61 eV/f.u.
Formation energy (no corrections) = 0.15 eV per atom
Distance to the lowest polymorph of the same formula = 0.184 eV/atom
Density of states at the Fermi level = 4.14 states/eV per cell

---

No. 7
The following is a DFT calculation (PBE) of crystalline WAu2Se at its relaxed geometry. Values from VASP.

Cell and atoms, written as Quantum ESPRESSO input:
```
&SYSTEM
  ibrav = 0, nat = 4, ntyp = 3
/
ATOMIC_SPECIES
W 183.84 W.upf
Au 196.97 Au.upf
Se 78.96 Se.upf
CELL_PARAMETERS angstrom
-2.309 2.309 3.276
2.309 -2.309 3.276
2.309 2.309 -3.276
ATOMIC_POSITIONS crystal
W 0.000 0.000 0.000
Au 0.250 0.750 0.500
Au 0.500 0.500 0.000
Se 0.750 0.250 0.500
```

Computed properties:
Total energy = -20.50 eV/f.u.
Formation energy (no corrections) = 0.62 eV per atom
Density of states at the Fermi level = 3.06 states/eV per cell

---

No. 8
The following is a DFT calculation (PBE) of crystalline WAu2Se at its relaxed geometry. Values from VASP.

Cell and atoms, written as Quantum ESPRESSO input:
```
&SYSTEM
  ibrav = 0, nat = 4, ntyp = 3
/
ATOMIC_SPECIES
W 183.84 W.upf
Au 196.97 Au.upf
Se 78.96 Se.upf
CELL_PARAMETERS angstrom
2.839 0.000 0.000
0.000 2.839 0.000
0.000 0.000 9.271
ATOMIC_POSITIONS crystal
W 0.000 0.000 0.000
Au 0.500 0.500 0.219
Au 0.500 0.500 0.781
Se 0.000 0.000 0.500
```

Computed properties:
Total energy = -21.34 eV/f.u.
Formation energy (no corrections) = 0.41 eV per atom
Density of states at the Fermi level = 2.85 states/eV per cell

---

No. 9
The following is a DFT calculation (PBE) of crystalline WAu2Se at its relaxed geometry. Values from VASP.

Cell and atoms, written as Quantum ESPRESSO input:
```
&SYSTEM
  ibrav = 0, nat = 4, ntyp = 3
/
ATOMIC_SPECIES
W 183.84 W.upf
Au 196.97 Au.upf
Se 78.96 Se.upf
CELL_PARAMETERS angstrom
2.745 -4.730 0.000
2.745 4.730 0.000
0.000 0.000 2.750
ATOMIC_POSITIONS crystal
W 0.000 0.000 0.000
Au 0.000 0.500 0.500
Au 0.500 0.000 0.500
Se 0.500 0.500 0.000
```

Computed properties:
Total energy = -20.65 eV/f.u.
Formation energy (no corrections) = 0.59 eV per atom
Density of states at the Fermi level = 3.07 states/eV per cell

---

No. 10
The following is a DFT calculation (PBE) of crystalline WAuSe2 at its relaxed geometry. Values from VASP.

Cell and atoms, written as Quantum ESPRESSO input:
```
&SYSTEM
  ibrav = 0, nat = 8, ntyp = 3
/
ATOMIC_SPECIES
W 183.84 W.upf
Au 196.97 Au.upf
Se 78.96 Se.upf
CELL_PARAMETERS angstrom
-2.999 2.999 5.546
2.999 -2.999 5.546
2.999 2.999 -5.546
ATOMIC_POSITIONS crystal
W 0.000 0.000 0.000
W 0.750 0.250 0.500
Au 0.250 0.750 0.500
Au 0.500 0.500 0.000
Se 0.095 0.625 0.970
Se 0.375 0.345 0.470
Se 0.655 0.125 0.030
Se 0.875 0.905 0.530
```

Computed properties:
Total energy = -21.63 eV/f.u.
Formation energy (no corrections) = 0.39 eV per atom
Distance to the lowest polymorph of the same formula = 0.428 eV/atom
Density of states at the Fermi level = 7.89 states/eV per cell

---

No. 11
The following is a DFT calculation (PBE) of crystalline WAuSe2 at its relaxed geometry. Values from VASP.

Cell and atoms, written as Quantum ESPRESSO input:
```
&SYSTEM
  ibrav = 0, nat = 4, ntyp = 3
/
ATOMIC_SPECIES
W 183.84 W.upf
Au 196.97 Au.upf
Se 78.96 Se.upf
CELL_PARAMETERS angstrom
3.026 0.000 0.000
0.000 3.026 0.000
0.000 0.000 9.276
ATOMIC_POSITIONS crystal
W 0.000 0.000 0.000
Au 0.000 0.000 0.500
Se 0.500 0.500 0.171
Se 0.500 0.500 0.829
```

Computed properties:
Total energy = -22.78 eV/f.u.
Formation energy (no corrections) = 0.10 eV per atom
Distance to the lowest polymorph of the same formula = 0.139 eV/atom
Density of states at the Fermi level = 1.08 states/eV per cell

---

No. 12
The following is a DFT calculation (PBE) of crystalline WAu2Se at its relaxed geometry. Values from VASP.

Cell and atoms, written as Quantum ESPRESSO input:
```
&SYSTEM
  ibrav = 0, nat = 4, ntyp = 3
/
ATOMIC_SPECIES
W 183.84 W.upf
Au 196.97 Au.upf
Se 78.96 Se.upf
CELL_PARAMETERS angstrom
5.197 0.000 0.000
0.000 5.197 0.000
0.000 0.000 2.735
ATOMIC_POSITIONS crystal
W 0.000 0.000 0.000
Au 0.000 0.500 0.500
Au 0.500 0.000 0.500
Se 0.500 0.500 0.000
```

Computed properties:
Total energy = -19.89 eV/f.u.
Formation energy (no corrections) = 0.78 eV per atom
Density of states at the Fermi level = 2.81 states/eV per cell